# U3Fe2Ge7 GGA-PBE optimized geometry
data_U3Fe2Ge7
_chemical_formula_sum 'U3 Fe2 Ge7'
_cell_length_a 12.666
_cell_length_b 12.666
_cell_length_c 4.166
_cell_angle_alpha 90.00
_cell_angle_beta 90.00
_cell_angle_gamma 161.16
_symmetry_space_group_name_H-M 'P 1'
_symmetry_Int_Tables_number 1
loop_
_symmetry_equiv_pos_as_xyz
'x,y,z'
loop_
_atom_site_label
_atom_site_type_symbol
_atom_site_fract_x
_atom_site_fract_y
_atom_site_fract_z
_atom_site_occupancy
U1 U 0.000 0.000 0.000 1
U2 U 0.316 0.684 0.500 1
U3 U 0.684 0.316 0.500 1
Fe1 Fe 0.128 0.872 0.000 1
Fe2 Fe 0.872 0.128 0.000 1
Ge1 Ge 0.087 0.913 0.500 1
Ge2 Ge 0.220 0.780 0.000 1
Ge3 Ge 0.414 0.586 0.000 1
Ge4 Ge 0.500 0.500 0.500 1
Ge5 Ge 0.586 0.414 0.000 1
Ge6 Ge 0.780 0.220 0.000 1
Ge7 Ge 0.913 0.087 0.500 1
# N(E_F): 18.18 states/eV/f.u.
# Magnetic moment: 3.94 μB per formula unit
# Raw total energy: -0.5294 Ry/atom
# Energy relative to the elements: -0.2774 eV/atom
# V: 215.80 Å³ per cell